1.
First-principles (PBE) data for ReCIN2 after structural relaxation, as listed in Alexandria.

a b c (Å): 3.8076 3.8076 4.1812
angles (deg): 90.00 90.00 90.00
Closest atoms and distances in Å follow each position.
Positions (direct):
C (0.0000, 0.0000, 0.0000)  4 N 1.90, 2 I 2.09
I (0.0000, 0.0000, 0.5000)  2 C 2.09
N (0.0000, 0.5000, 0.0000)  2 C 1.90
N (0.5000, 0.0000, 0.0000)  2 C 1.90
Re (0.5000, 0.5000, 0.5000)  4 I 2.69, 8 N 2.83

Results
energy above the lowest structure with this stoichiometry	1350	meV/atom
uncorrected formation energy	2.98	eV/atom
SG	P4/mmm, No. 123
total moment	0.0	Bohr magnetons per cell
calculated total energy	-24.99	eV per cell



2.
First-principles (PBE) data for BaPmEr2 after structural relaxation, as listed in Alexandria.

a b c (Å): 3.6121 3.6121 13.0261
angles (deg): 82.03 82.03 60.00
Closest atoms and distances in Å follow each position.
Positions (direct):
Er (0.9067, 0.9067, 0.2798)  3 Pm 3.52, 1 Ba 3.60, 6 Er 3.61
Er (0.0933, 0.0933, 0.7202)  3 Pm 3.52, 1 Ba 3.60, 6 Er 3.61
Ba (0.0000, 0.0000, 0.0000)  2 Er 3.60, 6 Ba 3.61
Pm (0.5000, 0.5000, 0.5000)  6 Er 3.52, 6 Pm 3.61

Results
energy above the lowest structure with this stoichiometry	74	meV/atom
SG	R-3m, No. 166
total moment	0.1	Bohr magnetons per cell
calculated formation energy	239.6	meV per atom
calculated total energy	-14.84	eV per cell



3.
First-principles (PBE) data for Na12SnHg6 after structural relaxation, as listed in Alexandria.

a b c (Å): 8.1362 8.1362 8.1362
angles (deg): 88.78 88.78 88.78
Closest atoms and distances in Å follow each position.
Positions (direct):
Na (0.1934, 0.4682, 0.5716)  4 Hg 3.20-3.36, 4 Na 3.39-3.46
Na (0.3703, 0.0216, 0.1453)  4 Na 3.16-3.49, 4 Hg 3.21-3.49, 1 Sn 3.27
Na (0.5716, 0.1934, 0.4682)  4 Hg 3.20-3.36, 4 Na 3.39-3.46
Na (0.6297, 0.9784, 0.8547)  4 Na 3.16-3.49, 4 Hg 3.21-3.49, 1 Sn 3.27
Na (0.5318, 0.4284, 0.8066)  4 Hg 3.20-3.36, 4 Na 3.39-3.46
Na (0.9784, 0.8547, 0.6297)  4 Na 3.16-3.49, 4 Hg 3.21-3.49, 1 Sn 3.27
Na (0.8066, 0.5318, 0.4284)  4 Hg 3.20-3.36, 4 Na 3.39-3.46
Na (0.1453, 0.3703, 0.0216)  4 Na 3.16-3.49, 4 Hg 3.21-3.49, 1 Sn 3.27
Na (0.4682, 0.5716, 0.1934)  4 Hg 3.20-3.36, 4 Na 3.39-3.46
Na (0.0216, 0.1453, 0.3703)  4 Na 3.16-3.49, 4 Hg 3.21-3.49, 1 Sn 3.27
Na (0.8547, 0.6297, 0.9784)  4 Na 3.16-3.49, 4 Hg 3.21-3.49, 1 Sn 3.27
Na (0.4284, 0.8066, 0.5318)  4 Hg 3.20-3.36, 4 Na 3.39-3.46
Hg (0.7216, 0.8823, 0.2628)  8 Na 3.20-3.49, 1 Sn 3.23, 2 Hg 3.41
Hg (0.2784, 0.1177, 0.7372)  8 Na 3.20-3.49, 1 Sn 3.23, 2 Hg 3.41
Hg (0.1177, 0.7372, 0.2784)  8 Na 3.20-3.49, 1 Sn 3.23, 2 Hg 3.41
Hg (0.2628, 0.7216, 0.8823)  8 Na 3.20-3.49, 1 Sn 3.23, 2 Hg 3.41
Hg (0.7372, 0.2784, 0.1177)  8 Na 3.20-3.49, 1 Sn 3.23, 2 Hg 3.41
Hg (0.8823, 0.2628, 0.7216)  8 Na 3.20-3.49, 1 Sn 3.23, 2 Hg 3.41
Sn (0.0000, 0.0000, 0.0000)  6 Hg 3.23, 6 Na 3.27

Results
SG	R-3, No. 148
total moment	0.0	Bohr magnetons per cell
calculated formation energy	-171.5	meV per atom
calculated total energy	-24.90	eV per cell



4.
First-principles (PBE) data for Li3Pd3Au2 after structural relaxation, as listed in Alexandria.

a b c (Å): 3.8377 3.9381 8.0391
angles (deg): 90.00 90.00 90.00
Closest atoms and distances in Å follow each position.
Positions (direct):
Li (0.5000, 0.0000, 0.0000)  4 Au 2.74, 4 Pd 2.75, 4 Li 2.88
Li (0.5000, 0.5000, 0.2612)  6 Pd 2.71-2.84, 4 Au 2.75, 2 Li 2.88
Li (0.5000, 0.5000, 0.7388)  6 Pd 2.71-2.84, 4 Au 2.75, 2 Li 2.88
Pd (0.0000, 0.5000, 0.5000)  4 Li 2.71, 4 Pd 2.75, 4 Au 2.85
Pd (0.0000, 0.5000, 0.0000)  8 Li 2.75-2.84, 4 Au 2.77
Pd (0.5000, 0.0000, 0.5000)  4 Pd 2.75, 4 Li 2.75, 4 Au 2.82
Au (0.0000, 0.0000, 0.7571)  6 Li 2.74-2.75, 6 Pd 2.77-2.85
Au (0.0000, 0.0000, 0.2429)  6 Li 2.74-2.75, 6 Pd 2.77-2.85

Results
energy above the lowest structure with this stoichiometry	0	meV/atom
SG	Pmmm, No. 47
total moment	0.0	Bohr magnetons per cell
calculated formation energy	-427.5	meV per atom
calculated total energy	-31.29	eV per cell



5.
First-principles (PBE) data for PmZnGeO after structural relaxation, as listed in Alexandria.

a b c (Å): 3.9524 3.9524 9.7397
angles (deg): 90.00 90.00 90.00
Closest atoms and distances in Å follow each position.
Positions (direct):
Zn (0.5000, 0.5000, 0.0000)  4 Ge 2.63, 4 Zn 2.79
Zn (0.0000, 0.0000, 0.0000)  4 Ge 2.63, 4 Zn 2.79
Pm (0.0000, 0.5000, 0.3773)  4 O 2.31
Pm (0.5000, 0.0000, 0.6227)  4 O 2.31
O (0.0000, 0.0000, 0.5000)  4 Pm 2.31
O (0.5000, 0.5000, 0.5000)  4 Pm 2.31
Ge (0.0000, 0.5000, 0.8224)  4 Zn 2.63
Ge (0.5000, 0.0000, 0.1776)  4 Zn 2.63

Results
uncorrected formation energy	-1.55	eV/atom
SG	P4/nmm, No. 129
total moment	0.0	Bohr magnetons per cell
calculated total energy	-43.59	eV per cell



6.
First-principles (PBE) data for RbMgNb after structural relaxation, as listed in Alexandria.

a b c (Å): 6.7072 3.2088 9.4073
angles (deg): 96.40 88.20 82.73
Closest atoms and distances in Å follow each position.
Positions (direct):
Rb (0.3247, 0.5694, 0.0499)  2 Rb 3.21
Rb (0.8425, 0.1207, 0.7753)  2 Rb 3.21
Nb (0.5498, 0.4957, 0.4332)  1 Nb 2.28
Nb (0.3671, 0.9475, 0.6073)  1 Nb 2.28
Mg (0.0722, 0.4430, 0.4306)  3 Nb 3.03-3.23, 4 Mg 3.16-3.25
Mg (0.8026, 0.9155, 0.2130)  2 Nb 2.96-3.16, 4 Mg 3.16-3.25

Results
energy above the lowest structure with this stoichiometry	309	meV/atom
SG	P1, No. 1
total moment	0.0	Bohr magnetons per cell
calculated formation energy	691.9	meV per atom
calculated total energy	-21.11	eV per cell



7.
First-principles (PBE) data for TcOsPb2 after structural relaxation, as listed in Alexandria.

a b c (Å): 3.0420 3.0420 9.6041
angles (deg): 90.00 90.00 90.00
Closest atoms and distances in Å follow each position.
Positions (direct):
Tc (0.0000, 0.0000, 0.5499)  4 Os 2.60
Pb (0.0000, 0.0000, 0.9363)  4 Pb 3.04, 4 Os 3.12
Pb (0.5000, 0.5000, 0.3124)  4 Pb 3.04, 4 Tc 3.13
Os (0.5000, 0.5000, 0.7014)  4 Tc 2.60

Results
energy above the lowest structure with this stoichiometry	0	meV/atom
SG	P4mm, No. 99
total moment	0.0	Bohr magnetons per cell
calculated formation energy	363.7	meV per atom
calculated total energy	-27.56	eV per cell



8.
First-principles (PBE) data for LaZn2IrBr after structural relaxation, as listed in Alexandria.

a b c (Å): 4.9046 4.9046 5.3974
angles (deg): 90.00 90.00 90.00
Closest atoms and distances in Å follow each position.
Positions (direct):
Ir (0.0000, 0.0000, 0.0000)  4 Zn 2.45, 2 La 2.70
Zn (0.5000, 0.0000, 0.0000)  2 Ir 2.45
Zn (0.0000, 0.5000, 0.0000)  2 Ir 2.45
Br (0.5000, 0.5000, 0.5000)  4 La 3.47, 8 Zn 3.65
La (0.0000, 0.0000, 0.5000)  2 Ir 2.70

Results
energy above the lowest structure with this stoichiometry	0	meV/atom
uncorrected formation energy	-0.65	eV/atom
SG	P4/mmm, No. 123
total moment	0.0	Bohr magnetons per cell
calculated total energy	-21.26	eV per cell



9.
First-principles (PBE) data for KPrSe2 after structural relaxation, as listed in Alexandria.

a b c (Å): 4.3528 4.3528 8.2969
angles (deg): 74.79 74.79 60.00
Closest atoms and distances in Å follow each position.
Positions (direct):
Se (0.0709, 0.0709, 0.7874)  3 Pr 3.01, 3 K 3.35
Se (0.2641, 0.2641, 0.2078)  3 Pr 3.01
K (0.4976, 0.4976, 0.5073)  6 Se 3.35-3.45
Pr (0.6675, 0.6675, 0.9974)  6 Se 3.01

Results
uncorrected formation energy	-1.72	eV/atom
SG	R3m, No. 160
total moment	0.0	Bohr magnetons per cell
calculated total energy	-19.74	eV per cell



10.
First-principles (PBE) data for Dy5Bi4As after structural relaxation, as listed in Alexandria.

a b c (Å): 4.4139 4.4139 15.8787
angles (deg): 97.99 97.99 90.00
Closest atoms and distances in Å follow each position.
Positions (direct):
Dy (0.9074, 0.9074, 0.8148)  1 As 2.88, 4 Bi 3.13
Dy (0.5000, 0.5000, 0.0000)  2 Bi 3.10, 4 As 3.12
Dy (0.7010, 0.7010, 0.4019)  6 Bi 3.12-3.18
Dy (0.2990, 0.2990, 0.5981)  6 Bi 3.12-3.18
Dy (0.0926, 0.0926, 0.1852)  1 As 2.88, 4 Bi 3.13
Bi (0.1970, 0.1970, 0.3941)  6 Dy 3.12-3.25
Bi (0.5996, 0.5996, 0.1991)  6 Dy 3.10-3.16
Bi (0.4004, 0.4004, 0.8009)  6 Dy 3.10-3.16
Bi (0.8030, 0.8030, 0.6059)  6 Dy 3.12-3.25
As (0.0000, 0.0000, 0.0000)  6 Dy 2.88-3.12

Results
SG	I4/mmm, No. 139
total moment	0.0	Bohr magnetons per cell
calculated formation energy	-961.6	meV per atom
calculated total energy	-52.80	eV per cell